10
Lattice="-3.115 3.115 5.693 3.115 -3.115 5.693 3.115 3.115 -5.693" Properties=species:S:1:pos:R:3 comment="CeZnGa2Ge, optimized geometry, DFT GGA-PBE" energy_ev_per_atom=-3.62 total_magnetization_mub_per_fu=0.541 delta_e_f_ev_per_atom=-0.048 pbc="T T T"
Ce 0.000 0.000 0.000
Ce 0.000 0.000 5.693
Zn 0.000 0.000 2.886
Zn 0.000 0.000 8.580
Ga 2.203 -0.912 2.192
Ga 4.027 0.912 2.192
Ga 0.912 2.203 2.192
Ga -0.912 4.027 2.192
Ge 3.115 0.000 5.068
Ge 0.000 3.115 5.068